1.
{
  "formula": "Dy2Y3Sc2",
  "functional": "GGA-PBE",
  "state": "optimized geometry",
  "formation_enthalpy_0k_ev_per_fu": 0.9,
  "n_ef_per_ev_atom": 1.788,
  "spacegroup": "C2/m, No. 12",
  "magnetic_moment_mub_per_fu": 0.00,
  "polymorph_energy_ev_per_atom": 0.054,
  "lattice": [[3.410, 0.000, 0.000], [0.000, 8.373, -0.681], [-1.705, -3.512, 7.697]],
  "species": ["Y", "Y", "Y", "Dy", "Dy", "Sc", "Sc"],
  "frac_coords": [[0.788, 0.196, 0.576], [0.000, 0.500, 0.000], [0.212, 0.804, 0.424], [0.859, 0.688, 0.719], [0.141, 0.312, 0.281], [0.564, 0.911, 0.129], [0.436, 0.089, 0.871]]
}

---

2.
{
  "formula": "Dy4YSc2",
  "functional": "GGA-PBE",
  "state": "optimized geometry",
  "formation_enthalpy_0k_ev_per_fu": 0.2,
  "n_ef_per_ev_atom": 1.770,
  "spacegroup": "P1, No. 1",
  "magnetic_moment_mub_per_fu": 0.00,
  "polymorph_energy_ev_per_atom": 0.000,
  "lattice": [[8.355, 1.140, 3.024], [0.160, 8.160, -1.117], [-2.335, -5.163, 5.986]],
  "species": ["Sc", "Sc", "Sc", "Sc", "Dy", "Dy", "Dy", "Dy", "Dy", "Dy", "Dy", "Dy", "Y", "Y"],
  "frac_coords": [[0.554, 0.078, 0.990], [0.622, 0.026, 0.362], [0.129, 0.364, 0.704], [0.482, 0.455, 0.937], [0.832, 0.217, 0.838], [0.416, 0.501, 0.562], [0.766, 0.602, 0.801], [0.344, 0.897, 0.519], [0.981, 0.798, 0.278], [0.905, 0.175, 0.231], [0.691, 0.650, 0.410], [0.273, 0.931, 0.132], [0.055, 0.739, 0.655], [0.201, 0.318, 0.080]]
}

---

3.
{
  "formula": "Dy2Y5Sc4",
  "functional": "GGA-PBE",
  "state": "optimized geometry",
  "formation_enthalpy_0k_ev_per_fu": 1.1,
  "n_ef_per_ev_atom": 1.489,
  "spacegroup": "P2/m, No. 10",
  "magnetic_moment_mub_per_fu": 0.00,
  "polymorph_energy_ev_per_atom": 0.007,
  "lattice": [[3.511, 0.000, 0.000], [0.000, 8.661, -1.096], [0.000, 0.456, 10.771]],
  "species": ["Sc", "Sc", "Sc", "Sc", "Y", "Y", "Y", "Y", "Y", "Dy", "Dy"],
  "frac_coords": [[0.500, 0.756, 0.574], [0.500, 0.798, 0.131], [0.500, 0.202, 0.869], [0.500, 0.244, 0.426], [0.000, 0.146, 0.133], [0.000, 0.454, 0.665], [0.000, 0.854, 0.867], [0.000, 0.546, 0.335], [0.000, 0.500, 0.000], [0.000, 0.924, 0.364], [0.000, 0.076, 0.636]]
}

---

4.
{
  "formula": "DyY4Sc4",
  "functional": "GGA-PBE",
  "state": "optimized geometry",
  "formation_enthalpy_0k_ev_per_fu": 0.5,
  "n_ef_per_ev_atom": 1.590,
  "spacegroup": "I4/mmm, No. 139",
  "magnetic_moment_mub_per_fu": 0.00,
  "polymorph_energy_ev_per_atom": 0.026,
  "lattice": [[-1.581, 2.577, 3.782], [-7.442, 1.560, -1.074], [-2.581, -4.875, 5.343]],
  "species": ["Y", "Y", "Y", "Y", "Sc", "Sc", "Sc", "Sc", "Dy"],
  "frac_coords": [[0.327, 0.673, 0.673], [0.673, 0.327, 0.327], [0.000, 0.327, 0.673], [0.000, 0.673, 0.327], [0.666, 0.000, 0.668], [0.334, 0.332, 0.000], [0.334, 0.000, 0.332], [0.666, 0.668, 0.000], [0.000, 0.000, 0.000]]
}

---

What is the formula in the fourth record? DyY4Sc4